1) Material: FeSn2W
Method: DFT, GGA-PBE
State: relaxed

## Properties
The space-group type is Fm-3m. The density of states at the Fermi level is 11.293 states/eV/f.u.

Lattice parameters (Å, degrees): 4.609 4.609 4.609 60.00 60.00 60.00
Fractional positions:
W 0.500 0.500 0.500
Sn 0.250 0.250 0.250
Fe 0.000 0.000 0.000
Sn 0.750 0.750 0.750

2) Material: FeSn2W
Method: DFT, GGA-PBE
State: relaxed

## Properties
The space-group type is I-42d. The density of states at the Fermi level is 5.417 states/eV/f.u.

Lattice parameters (Å, degrees): 7.335 7.335 5.950 51.95 51.95 90.00
Site moments in Bohr magnetons follow the coordinates.
Fractional positions:
Sn 0.147 0.625 0.250  -0.05
W 0.750 0.250 0.500  0.66
Fe 0.500 0.500 0.000  2.26
Sn 0.875 0.853 0.750  -0.05
Sn 0.375 0.397 0.750  -0.05
W 0.000 0.000 0.000  0.66
Sn 0.603 0.125 0.250  -0.05
Fe 0.250 0.750 0.500  2.26

Structures ranked by computed energy, the most stable listed first: 1), 2).